# 1
The following is a DFT calculation (GGA-PBE) of PmZrPO after structural relaxation.

Cell lengths 4.162, 4.162, 8.231 Å; angles 90.00, 90.00, 90.00 degrees
Atoms (fractional coordinates):
1 Pm 0.250 0.750 0.000
2 Pm 0.750 0.250 0.000
3 Zr 0.250 0.250 0.398
4 Zr 0.750 0.750 0.602
5 P 0.250 0.250 0.759
6 P 0.750 0.750 0.241
7 O 0.250 0.750 0.500
8 O 0.750 0.250 0.500

Calculated values
The polymorph energy (0 for the lowest one) comes out at 600.2 meV/atom. The calculation puts the total energy at -7.325 eV per atom.



# 2
The following is a DFT calculation (GGA-PBE) of Li4ZnPd2Pb after structural relaxation.

Cell lengths 4.436, 4.436, 6.297 Å; angles 90.00, 90.00, 90.00 degrees
Atoms (fractional coordinates):
1 Li 0.000 0.000 0.000
2 Li 0.000 0.500 0.223
3 Li 0.500 0.000 0.777
4 Li 0.500 0.500 0.500
5 Zn 0.500 0.500 0.000
6 Pd 0.000 0.500 0.774
7 Pd 0.500 0.000 0.226
8 Pb 0.000 0.000 0.500

Calculated values
The calculation puts the total energy at -3.295 eV per atom.



# 3
The following is a DFT calculation (GGA-PBE) of LiLaOsW after structural relaxation.

Cell lengths 4.638, 4.638, 4.638 Å; angles 60.00, 60.00, 60.00 degrees
Atoms (fractional coordinates):
1 Li 0.000 0.000 0.000
2 La 0.250 0.250 0.250
3 Os 0.750 0.750 0.750
4 W 0.500 0.500 0.500

Calculated values
The polymorph energy (0 for the lowest one) comes out at 0.0 meV/atom. The calculation puts the total energy at -7.316 eV per atom.



# 4
The following is a DFT calculation (GGA-PBE) of YHoSi4Ni2 after structural relaxation.

Cell lengths 3.964, 8.430, 8.430 Å; angles 27.35, 90.00, 90.00 degrees
Atoms (fractional coordinates):
1 Y 0.000 0.000 0.000
2 Ho 0.500 0.789 0.789
3 Si 0.000 0.355 0.355
4 Si 0.000 0.645 0.645
5 Si 0.500 0.145 0.145
6 Si 0.500 0.435 0.435
7 Ni 0.000 0.217 0.217
8 Ni 0.500 0.573 0.573

Calculated values
The calculation puts the total energy at -6.321 eV per atom.



# 5
The following is a DFT calculation (GGA-PBE) of Tl2Pt2Pb after structural relaxation.

Cell lengths 6.794, 6.794, 6.794 Å; angles 141.98, 141.98, 54.86 degrees
Atoms (fractional coordinates):
1 Tl 0.250 0.750 0.500
2 Tl 0.750 0.250 0.500
3 Pt 0.107 0.107 0.000
4 Pt 0.893 0.893 0.000
5 Pb 0.500 0.500 0.000

Calculated values
The calculation puts the total energy at -4.028 eV per atom.



# 6
The following is a DFT calculation (GGA-PBE) of CsTaGa after structural relaxation.

Cell lengths 5.098, 5.098, 5.098 Å; angles 60.00, 60.00, 60.00 degrees
Atoms (fractional coordinates):
1 Cs 0.000 0.000 0.000
2 Ta 0.500 0.500 0.500
3 Ga 0.250 0.250 0.250

Calculated values
The polymorph energy (0 for the lowest one) comes out at 128.1 meV/atom. The calculation puts the total energy at -3.447 eV per atom.



# 7
The following is a DFT calculation (GGA-PBE) of ThBi after structural relaxation.

Cell lengths 3.940, 3.940, 3.940 Å; angles 90.00, 90.00, 90.00 degrees
Atoms (fractional coordinates):
1 Th 0.000 0.000 0.000
2 Bi 0.500 0.500 0.500

Calculated values
The calculation puts the total energy at -6.277 eV per atom.



# 8
The following is a DFT calculation (GGA-PBE) of Rb2Ni3Sb2 after structural relaxation.

Cell lengths 12.321, 12.321, 12.321 Å; angles 20.21, 20.21, 20.21 degrees
Atoms (fractional coordinates):
1 Rb 0.000 0.000 0.000
2 Rb 0.495 0.495 0.495
3 Ni 0.406 0.406 0.406
4 Ni 0.586 0.586 0.586
5 Ni 0.906 0.906 0.906
6 Sb 0.247 0.247 0.247
7 Sb 0.745 0.745 0.745

Calculated values
The calculation puts the total energy at -3.938 eV per atom.